## Sr2CdFeO4 (GGA+U)

Data for a geometry-optimized Sr2CdFeO4 structure.

For the density of states at the Fermi level, the calculation gives 0.00 states/eV per cell. The final energy comes out at -179.60 eV for the cell shown.

The space group is Imma (No. 74) and the conventional cell measures 7.081, 7.182 and 9.369 Å, with angles of 90.00, 90.00 and 90.00 degrees. The asymmetric unit holds Sr at (0.000, 0.000, 0.000), Sr at (0.250, 0.250, 0.250), Cd at (0.250, 0.250, 0.750), Fe at (0.000, 0.000, 0.500), O at (0.000, 0.002, 0.276) and O at (0.248, 0.250, 0.510).